Record 1
LaSm12Er7 after structural relaxation. Source: Alexandria via LeMat-Bulk, functional PBE.

Unit cell a=9.3706 b=9.3706 c=9.3706 alpha=107.81 beta=107.81 gamma=107.81
Last column: nearest neighbours and their distance in Å.
Fractional coordinates of all 20 atoms:
La (0.0000, 0.0000, 0.0000)  6 Er 3.44, 6 Sm 3.78
Sm (0.0479, 0.4078, 0.2978)  4 Er 3.36-3.66, 3 Sm 3.37-3.67
Sm (0.2246, 0.3727, 0.6681)  6 Sm 3.37-3.77, 4 Er 3.37-3.51
Sm (0.2978, 0.0479, 0.4078)  4 Er 3.36-3.66, 3 Sm 3.37-3.67
Sm (0.3319, 0.7754, 0.6273)  6 Sm 3.37-3.77, 4 Er 3.37-3.51
Sm (0.3727, 0.6681, 0.2246)  6 Sm 3.37-3.77, 4 Er 3.37-3.51
Sm (0.4078, 0.2978, 0.0479)  4 Er 3.36-3.66, 3 Sm 3.37-3.67
Sm (0.5922, 0.7022, 0.9521)  4 Er 3.36-3.66, 3 Sm 3.37-3.67
Sm (0.6273, 0.3319, 0.7754)  6 Sm 3.37-3.77, 4 Er 3.37-3.51
Sm (0.6681, 0.2246, 0.3727)  6 Sm 3.37-3.77, 4 Er 3.37-3.51
Sm (0.7022, 0.9521, 0.5922)  4 Er 3.36-3.66, 3 Sm 3.37-3.67
Sm (0.7754, 0.6273, 0.3319)  6 Sm 3.37-3.77, 4 Er 3.37-3.51
Sm (0.9521, 0.5922, 0.7022)  4 Er 3.36-3.66, 3 Sm 3.37-3.67
Er (0.0107, 0.3223, 0.8945)  7 Sm 3.36-3.66, 3 Er 3.41-3.68, 1 La 3.44
Er (0.1055, 0.9893, 0.6777)  7 Sm 3.36-3.66, 3 Er 3.41-3.68, 1 La 3.44
Er (0.3223, 0.8945, 0.0107)  7 Sm 3.36-3.66, 3 Er 3.41-3.68, 1 La 3.44
Er (0.5000, 0.5000, 0.5000)  12 Sm 3.51-3.76
Er (0.6777, 0.1055, 0.9893)  7 Sm 3.36-3.66, 3 Er 3.41-3.68, 1 La 3.44
Er (0.8945, 0.0107, 0.3223)  7 Sm 3.36-3.66, 3 Er 3.41-3.68, 1 La 3.44
Er (0.9893, 0.6777, 0.1055)  7 Sm 3.36-3.66, 3 Er 3.41-3.68, 1 La 3.44

## Properties
- calculated formation energy (eV/f.u.) = 3.2
- total energy (eV/atom) = -4.51

=====

Record 2
LuBi3O6 after structural relaxation. Source: Alexandria via LeMat-Bulk, functional PBE.

Unit cell a=6.9720 b=6.9720 c=6.9720 alpha=93.78 beta=93.78 gamma=93.78
Last column: nearest neighbours and their distance in Å.
Fractional coordinates of all 20 atoms:
Lu (0.0000, 0.0000, 0.0000)  6 O 2.22
Lu (0.5000, 0.5000, 0.5000)  6 O 2.22
Bi (0.0547, 0.7492, 0.5761)  4 O 2.21-2.45
Bi (0.2508, 0.4239, 0.9453)  4 O 2.21-2.45
Bi (0.4239, 0.9453, 0.2508)  4 O 2.21-2.45
Bi (0.5761, 0.0547, 0.7492)  4 O 2.21-2.45
Bi (0.7492, 0.5761, 0.0547)  4 O 2.21-2.45
Bi (0.9453, 0.2508, 0.4239)  4 O 2.21-2.45
O (0.0291, 0.6952, 0.8990)  1 Lu 2.22, 2 Bi 2.32-2.42
O (0.1010, 0.9709, 0.3048)  1 Lu 2.22, 2 Bi 2.32-2.42
O (0.1936, 0.4354, 0.5587)  2 Bi 2.21-2.45, 1 Lu 2.22
O (0.3048, 0.1010, 0.9709)  1 Lu 2.22, 2 Bi 2.32-2.42
O (0.4354, 0.5587, 0.1936)  2 Bi 2.21-2.45, 1 Lu 2.22
O (0.4413, 0.8064, 0.5646)  2 Bi 2.21-2.45, 1 Lu 2.22
O (0.5587, 0.1936, 0.4354)  2 Bi 2.21-2.45, 1 Lu 2.22
O (0.5646, 0.4413, 0.8064)  2 Bi 2.21-2.45, 1 Lu 2.22
O (0.6952, 0.8990, 0.0291)  1 Lu 2.22, 2 Bi 2.32-2.42
O (0.8064, 0.5646, 0.4413)  2 Bi 2.21-2.45, 1 Lu 2.22
O (0.8990, 0.0291, 0.6952)  1 Lu 2.22, 2 Bi 2.32-2.42
O (0.9709, 0.3048, 0.1010)  1 Lu 2.22, 2 Bi 2.32-2.42

## Properties
- energy relative to the elements, uncorrected (meV/atom) = -1809.6
- total energy (eV/atom) = -6.40

=====

Record 3
PuZn10Ag2 after structural relaxation. Source: Alexandria via LeMat-Bulk, functional PBE.

Unit cell a=8.9906 b=6.9985 c=6.8202 alpha=81.16 beta=50.28 gamma=48.55
Last column: nearest neighbours and their distance in Å.
Fractional coordinates of all 13 atoms:
Pu (0.0000, 0.0000, 0.0000)  16 Zn 3.18-3.41, 4 Ag 3.50
Zn (0.0000, 0.0000, 0.5000)  10 Zn 2.60-2.76
Zn (0.0062, 0.6465, 0.3535)  4 Zn 2.64-2.80, 2 Ag 2.81
Zn (0.2874, 0.5042, 0.4958)  5 Zn 2.60-2.80, 2 Ag 2.69
Zn (0.3535, 0.9938, 0.0062)  4 Zn 2.64-2.80, 2 Ag 2.81
Zn (0.4958, 0.7126, 0.2874)  5 Zn 2.60-2.80, 2 Ag 2.69
Zn (0.5000, 0.5000, 0.0000)  10 Zn 2.60-2.76
Zn (0.5042, 0.2874, 0.7126)  5 Zn 2.60-2.80, 2 Ag 2.69
Zn (0.6465, 0.0062, 0.9938)  4 Zn 2.64-2.80, 2 Ag 2.81
Zn (0.7126, 0.4958, 0.5042)  5 Zn 2.60-2.80, 2 Ag 2.69
Zn (0.9938, 0.3535, 0.6465)  4 Zn 2.64-2.80, 2 Ag 2.81
Ag (0.0000, 0.5000, 0.0000)  8 Zn 2.69-2.81, 2 Ag 2.71
Ag (0.5000, 0.0000, 0.5000)  8 Zn 2.69-2.81, 2 Ag 2.71

## Properties
- calculated formation energy (eV/f.u.) = -0.7
- total energy (eV/atom) = -2.58